SiTeAu2: relaxed, PBE.

Cell: 3.034 3.789 7.214 Å, 90.00 90.00 90.00°
Fractional positions:
Au1 0.000 0.000 0.038
Au2 0.500 0.500 0.274
Si1 0.000 0.000 0.429
Te1 0.500 0.500 0.758

Results
DOS at the Fermi energy   0.522 states/eV/atom
SG   Pmm2
Uncorrected energy   -3.515 eV per atom
Calculated volume   82.9 Å³/cell
E_form (uncorrected)   1.06 eV/f.u.